# 1
DFT (PBE-GGA) results for crystalline PaAl6Ir3 at its relaxed geometry.

Cell and atoms, written as POSCAR:
```
PaAl6Ir3
1.0
-0.577 0.849 4.096
-7.963 0.328 -1.190
-2.211 -9.599 1.677
Pa Al Ir
2 12 6
direct
0.750 0.062 0.726 Pa
0.250 0.938 0.274 Pa
0.750 0.427 0.567 Al
0.250 0.573 0.433 Al
0.750 0.859 0.027 Al
0.250 0.141 0.973 Al
0.750 0.460 0.083 Al
0.250 0.540 0.917 Al
0.750 0.662 0.269 Al
0.250 0.338 0.731 Al
0.750 0.135 0.407 Al
0.250 0.865 0.593 Al
0.750 0.679 0.753 Al
0.250 0.321 0.247 Al
0.750 0.367 0.854 Ir
0.250 0.633 0.146 Ir
0.750 0.758 0.490 Ir
0.250 0.242 0.510 Ir
0.750 0.143 0.141 Ir
0.250 0.857 0.859 Ir
```

Computed properties:
**Magnetic moment**: 0.000 μB per cell
**DFT formation energy**: -752 meV per atom
**Electronic total energy**: -132.1 eV per cell
**DOS(E_F)**: 0.414 states/eV per atom

---

# 2
DFT (PBE-GGA) results for crystalline Pa2Al3Ir at its relaxed geometry.

Cell and atoms, written as POSCAR:
```
Pa2Al3Ir
1.0
5.613 0.000 0.000
-2.806 4.861 0.000
0.000 0.000 8.311
Pa Al Ir
4 6 2
direct
0.667 0.333 0.413 Pa
0.333 0.667 0.587 Pa
0.333 0.667 0.913 Pa
0.667 0.333 0.087 Pa
0.165 0.330 0.250 Al
0.330 0.165 0.750 Al
0.835 0.670 0.750 Al
0.165 0.835 0.250 Al
0.835 0.165 0.750 Al
0.670 0.835 0.250 Al
0.000 0.000 0.500 Ir
0.000 0.000 0.000 Ir
```

Computed properties:
**E above lowest polymorph**: 0 meV per atom
**Magnetic moment**: 0.000 μB per cell
**DFT formation energy**: -583 meV per atom
**Electronic total energy**: -85.2 eV per cell
**DOS(E_F)**: 0.775 states/eV per atom

---

# 3
DFT (PBE-GGA) results for crystalline Pa2Al3Ir at its relaxed geometry.

Cell and atoms, written as POSCAR:
```
Pa2Al3Ir
1.0
-3.698 3.365 -1.798
-1.002 -5.215 -0.176
1.003 -0.387 5.425
Pa Al Ir
2 3 1
direct
0.721 0.377 0.098 Pa
0.279 0.623 0.902 Pa
0.500 0.500 0.500 Al
0.000 0.000 0.500 Al
0.500 0.000 0.500 Al
0.000 0.000 0.000 Ir
```

Computed properties:
**E above lowest polymorph**: 50 meV per atom
**Magnetic moment**: 0.000 μB per cell
**DFT formation energy**: -532 meV per atom
**Electronic total energy**: -42.3 eV per cell
**DOS(E_F)**: 1.313 states/eV per atom

---

# 4
DFT (PBE-GGA) results for crystalline PaAl11Ir at its relaxed geometry.

Cell and atoms, written as POSCAR:
```
PaAl11Ir
1.0
4.811 -0.052 2.004
2.317 6.634 0.965
-0.017 -0.026 6.816
Pa Al Ir
1 11 1
direct
0.000 0.000 0.000 Pa
0.286 0.219 0.213 Al
0.714 0.781 0.787 Al
0.501 0.781 0.213 Al
0.499 0.219 0.787 Al
0.357 0.644 0.652 Al
0.643 0.356 0.348 Al
0.991 0.356 0.652 Al
0.009 0.644 0.348 Al
0.000 0.500 0.000 Al
0.500 0.000 0.500 Al
0.000 0.000 0.500 Al
0.500 0.500 0.000 Ir
```

Computed properties:
**Magnetic moment**: 0.000 μB per cell
**DFT formation energy**: -251 meV per atom
**Electronic total energy**: -62.8 eV per cell
**DOS(E_F)**: 0.616 states/eV per atom

---

# 5
DFT (PBE-GGA) results for crystalline PaAl2Ir at its relaxed geometry.

Cell and atoms, written as POSCAR:
```
PaAl2Ir
1.0
4.234 0.000 0.000
2.117 3.667 0.000
2.117 1.222 4.957
Pa Al Ir
1 2 1
direct
0.000 0.000 0.000 Pa
0.789 0.789 0.634 Al
0.211 0.211 0.366 Al
0.500 0.500 0.500 Ir
```

Computed properties:
**E above lowest polymorph**: 215 meV per atom
**Magnetic moment**: 0.000 μB per cell
**DFT formation energy**: -484 meV per atom
**Electronic total energy**: -27.8 eV per cell
**DOS(E_F)**: 1.206 states/eV per atom

---

# 6
DFT (PBE-GGA) results for crystalline PaAl2Ir at its relaxed geometry.

Cell and atoms, written as POSCAR:
```
PaAl2Ir
1.0
-0.721 -3.833 -1.799
3.713 2.892 -2.522
5.028 -2.874 4.107
Pa Al Ir
2 4 2
direct
0.924 0.848 0.250 Pa
0.076 0.152 0.750 Pa
0.363 0.727 0.554 Al
0.637 0.273 0.446 Al
0.363 0.727 0.946 Al
0.637 0.273 0.054 Al
0.790 0.580 0.750 Ir
0.210 0.420 0.250 Ir
```

Computed properties:
**E above lowest polymorph**: 0 meV per atom
**Magnetic moment**: 0.000 μB per cell
**DFT formation energy**: -699 meV per atom
**Electronic total energy**: -57.3 eV per cell
**DOS(E_F)**: 0.837 states/eV per atom

---

# 7
DFT (PBE-GGA) results for crystalline Pa2Al5Ir3 at its relaxed geometry.

Cell and atoms, written as POSCAR:
```
Pa2Al5Ir3
1.0
-2.138 -1.983 -3.034
-4.592 -2.196 4.671
-5.727 11.200 -0.365
Pa Al Ir
4 10 6
direct
0.477 0.783 0.954 Pa
0.176 0.708 0.351 Pa
0.824 0.208 0.649 Pa
0.523 0.283 0.046 Pa
0.399 0.407 0.798 Al
0.290 0.499 0.580 Al
0.710 0.999 0.420 Al
0.129 0.250 0.258 Al
0.294 0.888 0.588 Al
0.945 0.120 0.890 Al
0.706 0.388 0.412 Al
0.871 0.750 0.742 Al
0.055 0.620 0.110 Al
0.601 0.907 0.202 Al
0.768 0.691 0.535 Ir
0.609 0.519 0.217 Ir
0.047 0.001 0.093 Ir
0.232 0.191 0.465 Ir
0.953 0.501 0.907 Ir
0.391 0.019 0.783 Ir
```

Computed properties:
**Magnetic moment**: 0.000 μB per cell
**DFT formation energy**: -789 meV per atom
**Electronic total energy**: -144.4 eV per cell
**DOS(E_F)**: 0.725 states/eV per atom

---

# 8
DFT (PBE-GGA) results for crystalline PaAl3Ir at its relaxed geometry.

Cell and atoms, written as POSCAR:
```
PaAl3Ir
1.0
4.113 0.000 0.000
0.000 8.340 0.000
0.000 0.000 10.865
Pa Al Ir
4 12 4
direct
0.750 0.813 0.006 Pa
0.250 0.687 0.506 Pa
0.750 0.313 0.494 Pa
0.250 0.187 0.994 Pa
0.250 0.555 0.087 Al
0.750 0.445 0.913 Al
0.250 0.055 0.413 Al
0.750 0.945 0.587 Al
0.250 0.405 0.704 Al
0.750 0.095 0.204 Al
0.250 0.905 0.796 Al
0.750 0.648 0.714 Al
0.250 0.352 0.286 Al
0.750 0.148 0.786 Al
0.750 0.595 0.296 Al
0.250 0.852 0.214 Al
0.250 0.121 0.642 Ir
0.250 0.621 0.858 Ir
0.750 0.379 0.142 Ir
0.750 0.879 0.358 Ir
```

Computed properties:
**Magnetic moment**: 0.000 μB per cell
**DFT formation energy**: -607 meV per atom
**Electronic total energy**: -130.5 eV per cell
**DOS(E_F)**: 0.636 states/eV per atom

---

# 9
DFT (PBE-GGA) results for crystalline PaAl4Ir at its relaxed geometry.

Cell and atoms, written as POSCAR:
```
PaAl4Ir
1.0
4.136 0.000 0.000
0.000 6.933 0.000
0.000 0.000 7.573
Pa Al Ir
2 8 2
direct
0.000 0.631 0.750 Pa
0.000 0.369 0.250 Pa
0.000 0.000 0.500 Al
0.000 0.000 0.000 Al
0.500 0.958 0.750 Al
0.500 0.042 0.250 Al
0.500 0.681 0.062 Al
0.500 0.319 0.938 Al
0.500 0.681 0.438 Al
0.500 0.319 0.562 Al
0.000 0.222 0.750 Ir
0.000 0.778 0.250 Ir
```

Computed properties:
**Magnetic moment**: 1.061 μB per cell
**DFT formation energy**: -537 meV per atom
**Electronic total energy**: -73.1 eV per cell
**DOS(E_F)**: 0.966 states/eV per atom

---

# 10
DFT (PBE-GGA) results for crystalline PaAl3Ir2 at its relaxed geometry.

Cell and atoms, written as POSCAR:
```
PaAl3Ir2
1.0
-2.008 -3.143 1.679
8.162 -1.243 2.451
-4.339 6.170 6.360
Pa Al Ir
3 9 6
direct
0.164 0.327 0.702 Pa
0.836 0.673 0.298 Pa
0.000 0.000 0.000 Pa
0.039 0.078 0.355 Al
0.961 0.922 0.645 Al
0.211 0.423 0.398 Al
0.789 0.577 0.602 Al
0.632 0.264 0.207 Al
0.368 0.736 0.793 Al
0.500 0.000 0.500 Al
0.323 0.647 0.034 Al
0.677 0.353 0.966 Al
0.200 0.400 0.134 Ir
0.800 0.600 0.866 Ir
0.478 0.956 0.202 Ir
0.522 0.044 0.798 Ir
0.364 0.727 0.537 Ir
0.636 0.273 0.463 Ir
```

Computed properties:
**Magnetic moment**: 0.000 μB per cell
**DFT formation energy**: -768 meV per atom
**Electronic total energy**: -129.2 eV per cell
**DOS(E_F)**: 0.593 states/eV per atom

---

# 11
DFT (PBE-GGA) results for crystalline PaAlIrPd at its relaxed geometry.

Cell and atoms, written as POSCAR:
```
PaAlIrPd
1.0
4.720 0.000 0.000
2.360 4.087 0.000
2.360 1.362 3.853
Pa Al Pd Ir
1 1 1 1
direct
0.250 0.250 0.250 Pa
0.750 0.750 0.750 Al
0.000 0.000 0.000 Pd
0.500 0.500 0.500 Ir
```

Computed properties:
**Magnetic moment**: 0.000 μB per cell
**DFT formation energy**: -647 meV per atom
**Electronic total energy**: -29.9 eV per cell
**DOS(E_F)**: 0.713 states/eV per atom

---

# 12
DFT (PBE-GGA) results for crystalline Pa2Al2Si4Ir at its relaxed geometry.

Cell and atoms, written as POSCAR:
```
Pa2Al2Si4Ir
1.0
-5.500 -0.521 -2.377
4.759 -1.287 -3.445
1.686 -3.917 4.240
Pa Al Si Ir
2 2 4 1
direct
0.500 0.750 0.250 Pa
0.500 0.250 0.750 Pa
0.000 0.706 0.706 Al
0.000 0.294 0.294 Al
0.000 0.720 0.280 Si
0.441 0.720 0.720 Si
0.000 0.280 0.720 Si
0.559 0.280 0.280 Si
0.000 0.000 0.000 Ir
```

Computed properties:
**Magnetic moment**: 0.000 μB per cell
**Formation energy from raw total energies**: -0.515 eV/atom
**Electronic total energy**: -61.7 eV per cell
**DOS(E_F)**: 0.623 states/eV per atom